w) 8
Lattice="4.063 0.000 0.000 -2.031 6.228 0.000 0.000 0.000 9.690" Properties=species:S:1:pos:R:3 comment="PBE CaNd2Pd, optimized geometry" space_group=P2_1/m pbc="T T T"
Ca 2.030 5.346 2.422
Ca 0.002 0.882 7.267
Nd 0.000 4.466 5.419
Nd 2.031 1.763 4.271
Nd 0.000 4.466 9.116
Nd 2.031 1.763 0.574
Pd 2.032 3.333 7.267
Pd 0.000 2.895 2.422

***

x) 4
Lattice="4.065 0.000 0.000 2.032 3.520 0.000 2.032 1.173 9.766" Properties=species:S:1:pos:R:3 comment="PBE CaNd2Pd, optimized geometry" space_group=R3m pbc="T T T"
Ca 4.065 2.347 4.854
Nd 2.032 1.173 8.071
Nd 2.032 1.173 1.710
Pd 4.065 2.347 0.014

***

y) 16
Lattice="-1.725 3.164 5.438 -0.071 -6.449 3.730 9.770 1.261 2.365" Properties=species:S:1:pos:R:3 comment="PBE CaNd2Pd, optimized geometry" space_group=Pnma pbc="T T T"
Ca 1.303 -1.096 6.049
Ca 0.954 2.834 5.395
Ca 6.671 -0.928 5.485
Ca 7.020 -4.858 6.138
Nd 0.253 -3.751 3.582
Nd 3.709 0.467 3.499
Nd 4.020 1.249 7.055
Nd 7.966 -2.013 8.931
Nd 7.721 1.727 7.951
Nd 4.265 -2.491 8.035
Nd 3.954 -3.273 4.479
Nd 0.008 -0.011 2.603
Pd 2.274 -1.923 2.481
Pd 1.658 -4.083 6.175
Pd 5.700 -0.102 9.053
Pd 6.316 2.059 5.359

***

z) 4
Lattice="3.666 0.000 0.000 0.000 3.666 0.000 0.000 0.000 9.416" Properties=species:S:1:pos:R:3 comment="PBE CaNd2Pd, optimized geometry" space_group=P4/mmm pbc="T T T"
Ca 1.833 1.833 4.708
Nd 0.000 0.000 7.713
Nd 0.000 0.000 1.704
Pd 1.833 1.833 0.000

***

Which of them is the most stable? Correct choice: y).

***

w) 4
Lattice="-2.646 1.585 -1.850 1.239 -1.475 -3.037 -5.351 -7.327 1.376" Properties=species:S:1:pos:R:3 comment="PBE Ca2NdPd, optimized geometry" space_group=P4/mmm pbc="T T T"
Ca -4.361 -5.971 1.122
Ca -0.990 -1.355 0.255
Nd -3.379 -3.608 -1.755
Pd -0.704 0.055 -2.443

***

x) 4
Lattice="-2.921 2.324 -0.009 -2.841 -0.583 -2.350 -6.883 -5.628 6.753" Properties=species:S:1:pos:R:3 comment="PBE Ca2NdPd, optimized geometry" space_group=R-3m pbc="T T T"
Ca -5.246 -3.579 4.265
Ca -7.400 -0.308 0.129
Nd 0.000 0.000 0.000
Pd -6.323 -1.944 2.197

***

Which of them is the most stable? Correct choice: w).

***

w) 6
Lattice="3.577 0.000 0.000 0.000 3.577 0.000 0.000 0.000 10.953" Properties=species:S:1:pos:R:3 comment="PBE CaNd2Pd3, optimized geometry" space_group=P4/mmm pbc="T T T"
Ca 1.789 1.789 5.477
Nd 1.789 1.789 9.088
Nd 1.789 1.789 1.865
Pd 0.000 0.000 0.000
Pd 0.000 0.000 7.380
Pd 0.000 0.000 3.573

***

x) 12
Lattice="5.917 0.000 0.000 0.000 8.342 0.001 -2.958 -2.088 6.332" Properties=species:S:1:pos:R:3 comment="PBE CaNd2Pd3, optimized geometry" space_group=C2/c pbc="T T T"
Ca 5.876 6.256 0.000
Ca 0.041 2.085 0.000
Nd 2.966 4.168 2.113
Nd 2.951 -0.003 2.113
Nd 0.008 6.256 4.220
Nd -0.008 2.086 4.220
Pd 3.004 2.085 0.000
Pd 2.913 6.256 0.000
Pd -0.008 0.001 2.143
Pd 2.951 2.082 4.190
Pd 0.008 4.172 2.143
Pd 2.966 6.253 4.190

***

Which of them is the most stable? Correct choice: w).

***

w) 4
Lattice="-0.513 -4.712 -1.920 4.140 -2.653 -1.407 1.492 -4.054 2.738" Properties=species:S:1:pos:R:3 comment="PBE CaNdZnPd, optimized geometry" space_group=F-43m pbc="T T T"
Zn 2.560 -5.710 -0.295
Nd 1.280 -2.855 -0.147
Ca 3.839 -8.564 -0.442
Pd 0.000 0.000 0.000

***

x) 4
Lattice="4.079 0.000 0.000 0.000 4.339 0.000 -2.039 0.000 5.691" Properties=species:S:1:pos:R:3 comment="PBE CaNdZnPd, optimized geometry" space_group=Amm2 pbc="T T T"
Ca 0.000 0.000 1.628
Nd 2.039 2.169 4.094
Zn 2.039 2.169 0.806
Pd 0.000 0.000 4.854

***

Which of them is the most stable? Correct choice: x).

***

w) 6
Lattice="6.809 0.000 0.000 3.405 5.897 0.000 3.405 1.966 5.560" Properties=species:S:1:pos:R:3 comment="PBE CaPm4Nd, optimized geometry" space_group=F-43m pbc="T T T"
Ca 3.405 1.966 1.390
Nd 0.000 0.000 0.000
Pm 6.809 3.931 0.673
Pm 6.809 1.945 3.482
Pm 8.529 4.924 3.482
Pm 5.089 4.924 3.482

***

x) 12
Lattice="-1.679 -2.888 1.508 0.460 -5.876 -10.743 8.235 -1.513 6.274" Properties=species:S:1:pos:R:3 comment="PBE CaPm4Nd, optimized geometry" space_group=C2/m pbc="T T T"
Ca 3.508 -5.139 -1.481
Ca 0.000 0.000 0.000
Pm 2.048 -2.948 1.093
Pm 1.459 -2.193 -2.572
Pm 4.968 -7.329 -4.054
Pm 5.557 -8.084 -0.389
Pm 1.332 -7.311 -3.611
Pm 0.957 -6.591 -7.105
Pm 5.684 -2.966 0.650
Pm 6.058 -3.686 4.143
Nd 4.117 -0.756 3.137
Nd -0.610 -4.382 -4.617

***

Which of them is the most stable? Correct choice: x).

***

w) 12
Lattice="7.095 1.951 0.867 5.257 7.896 2.478 -0.986 -0.457 9.138" Properties=species:S:1:pos:R:3 comment="PBE CaPm4Nd7, optimized geometry" space_group=P-1 pbc="T T T"
Ca 0.000 0.000 0.000
Pm 7.253 6.555 5.303
Pm 4.113 2.835 7.179
Pm 8.551 7.261 8.683
Pm 2.815 2.129 3.799
Nd 7.993 5.426 1.899
Nd 3.373 3.964 10.583
Nd 7.725 3.829 7.619
Nd 3.641 5.561 4.863
Nd 5.024 6.256 8.143
Nd 3.548 0.975 0.433
Nd 6.342 3.134 4.339

***

x) 12
Lattice="-4.376 2.184 -3.800 0.693 -6.707 -9.700 -6.266 -2.839 0.537" Properties=species:S:1:pos:R:3 comment="PBE CaPm4Nd7, optimized geometry" space_group=C2/m pbc="T T T"
Ca 0.000 0.000 0.000
Pm -5.776 -1.527 -4.320
Pm -4.172 -5.836 -8.643
Pm -7.910 -5.188 -9.013
Pm -2.039 -2.174 -3.949
Nd -5.991 -5.915 -11.641
Nd -3.958 -1.448 -1.321
Nd -1.096 -4.978 -6.646
Nd -8.853 -2.384 -6.316
Nd -6.032 -4.706 -5.852
Nd -2.188 1.092 -1.900
Nd -3.917 -2.657 -7.110

***

Which of them is the most stable? Correct choice: w).

***

w) 7
Lattice="0.364 3.179 -1.640 2.516 -2.706 -4.685 -12.231 -1.587 -1.850" Properties=species:S:1:pos:R:3 comment="PBE Ca2PmNd4, optimized geometry" space_group=Immm pbc="T T T"
Ca -6.021 -0.753 -2.796
Ca -3.330 -0.361 -5.380
Nd -0.470 -1.570 -3.147
Nd -8.880 0.456 -5.029
Nd -6.708 -2.349 -6.042
Nd -2.643 1.235 -2.134
Pm 0.000 0.000 0.000

***

x) 7
Lattice="-3.101 4.825 0.691 -2.984 -2.527 4.253 9.058 1.857 3.534" Properties=species:S:1:pos:R:3 comment="PBE Ca2PmNd4, optimized geometry" space_group=I4/mmm pbc="T T T"
Ca -1.519 1.911 3.993
Ca 4.493 2.245 4.486
Pm 0.000 0.000 0.000
Nd 0.892 3.116 6.401
Nd 2.081 1.040 2.078
Nd -1.492 -1.263 2.127
Nd -1.551 2.413 0.345

***

Which of them is the most stable? Correct choice: w).

***

w) 5
Lattice="-0.480 3.566 0.339 -4.389 -0.238 -3.712 -3.369 -1.260 8.493" Properties=species:S:1:pos:R:3 comment="PBE CaPm2Nd2, optimized geometry" space_group=P2/m pbc="T T T"
Ca 0.000 0.000 0.000
Pm -3.711 1.348 -0.174
Pm -4.527 0.719 5.294
Nd -2.257 -0.559 2.687
Nd -5.501 -0.940 2.094

***

x) 5
Lattice="-2.886 1.988 1.173 -3.441 -1.117 -0.754 -2.353 -7.708 13.101" Properties=species:S:1:pos:R:3 comment="PBE CaPm2Nd2, optimized geometry" space_group=R-3m pbc="T T T"
Ca 0.000 0.000 0.000
Pm -4.411 -5.744 10.529
Pm -4.269 -1.092 2.991
Nd -6.474 -3.929 8.199
Nd -2.207 -2.907 5.322

***

Which of them is the most stable? Correct choice: x).

***

w) 11
Lattice="6.612 0.004 0.429 0.413 7.806 1.107 -0.023 0.040 7.895" Properties=species:S:1:pos:R:3 comment="PBE CaPm3Nd7, optimized geometry" space_group=C2/m pbc="T T T"
Ca 3.501 3.925 4.715
Pm 0.339 6.484 2.262
Pm 3.306 0.002 0.214
Pm 0.052 1.361 6.739
Nd 5.326 1.841 2.448
Nd 5.288 7.193 5.861
Nd 1.865 3.336 1.228
Nd 5.137 4.514 8.202
Nd 0.195 3.923 4.501
Nd 1.715 0.657 3.569
Nd 1.677 6.009 6.982

***

x) 11
Lattice="8.869 0.000 0.000 0.000 7.301 0.000 0.000 -3.651 6.323" Properties=species:S:1:pos:R:3 comment="PBE CaPm3Nd7, optimized geometry" space_group=P3m1 pbc="T T T"
Ca 3.945 0.000 4.215
Pm 6.989 1.854 3.145
Pm 6.989 3.651 0.033
Pm 6.989 5.447 3.145
Nd 0.975 -1.848 5.282
Nd 0.975 0.000 2.081
Nd 1.099 3.651 2.108
Nd 3.999 5.459 1.063
Nd 3.999 1.842 1.063
Nd 3.999 3.651 4.196
Nd 0.975 1.848 5.282

***

Which of them is the most stable? Correct choice: x).

***

w) 7
Lattice="-0.535 -3.530 0.255 5.630 -0.724 1.794 -5.996 3.468 10.319" Properties=species:S:1:pos:R:3 comment="PBE Ca2Pm4Nd, optimized geometry" space_group=Immm pbc="T T T"
Ca -1.925 0.749 6.331
Ca 1.024 -1.534 6.038
Nd 0.000 0.000 0.000
Pm 2.262 -0.146 2.721
Pm -3.163 -0.639 9.647
Pm 0.269 0.628 9.268
Pm -1.170 -1.414 3.100

***

x) 7
Lattice="5.742 0.000 0.000 0.000 5.742 0.000 -2.871 -2.871 8.979" Properties=species:S:1:pos:R:3 comment="PBE Ca2Pm4Nd, optimized geometry" space_group=I4/mmm pbc="T T T"
Ca 2.871 2.871 2.284
Ca 0.000 0.000 6.695
Pm 2.871 2.871 5.875
Pm 0.000 0.000 3.104
Pm 0.000 2.871 0.000
Pm 2.871 0.000 0.000
Nd 0.000 0.000 0.000

***

Which of them is the most stable? Correct choice: w).

***

w) 4
Lattice="-3.038 -2.019 4.647 2.813 -2.788 4.384 0.580 2.610 5.269" Properties=species:S:1:pos:R:3 comment="PBE CaPmPrNd, optimized geometry" space_group=F-43m pbc="T T T"
Pr 0.089 -0.549 3.575
Ca 0.177 -1.099 7.150
Nd 0.266 -1.648 10.724
Pm 0.000 0.000 0.000

***

x) 4
Lattice="-2.712 0.591 -2.468 2.976 -2.005 -0.956 -5.662 -10.204 3.777" Properties=species:S:1:pos:R:3 comment="PBE CaPmPrNd, optimized geometry" space_group=P3m1 pbc="T T T"
Ca -4.630 -7.149 0.581
Pm -1.812 -2.070 -1.299
Pr -4.220 -10.692 2.075
Nd -2.341 -4.220 1.562

***

Which of them is the most stable? Correct choice: x).

***

w) 4
Lattice="5.871 0.000 0.000 2.936 5.085 0.000 2.936 1.695 4.794" Properties=species:S:1:pos:R:3 comment="PBE CaPmNdSm, optimized geometry" space_group=F-43m pbc="T T T"
Ca 2.936 1.695 1.198
Nd 5.871 3.390 2.397
Sm 0.000 0.000 0.000
Pm 8.807 5.085 3.595

***

x) 4
Lattice="3.688 0.000 0.000 0.000 3.688 0.000 0.000 0.000 10.574" Properties=species:S:1:pos:R:3 comment="PBE CaPmNdSm, optimized geometry" space_group=P4mm pbc="T T T"
Ca 1.844 1.844 8.696
Pm 0.000 0.000 0.915
Nd 0.000 0.000 5.878
Sm 1.844 1.844 3.381

***

Which of them is the most stable? Correct choice: x).